## Na12Tl2Pd (GGA-PBE)

Data for a relaxed structure of Na12Tl2Pd.

Cell: 6.621 6.621 23.386 Å, 90.00 90.00 90.00°
Sites, in units of the cell vectors:
Na (0.500, 0.500, 0.805)
Na (0.000, 0.000, 0.805)
Na (0.750, 0.750, 0.927)
Na (0.250, 0.750, 0.927)
Na (0.000, 0.000, 0.326)
Na (0.250, 0.750, 0.073)
Na (0.822, 0.322, 0.568)
Na (0.500, 0.500, 0.326)
Na (0.250, 0.250, 0.927)
Na (0.750, 0.750, 0.073)
Na (0.322, 0.178, 0.568)
Na (0.678, 0.178, 0.432)
Na (0.000, 0.000, 0.674)
Na (0.178, 0.322, 0.432)
Na (0.250, 0.250, 0.073)
Na (0.822, 0.678, 0.432)
Na (0.678, 0.822, 0.568)
Na (0.000, 0.000, 0.195)
Na (0.178, 0.678, 0.568)
Na (0.500, 0.500, 0.674)
Na (0.750, 0.250, 0.927)
Na (0.500, 0.500, 0.195)
Na (0.322, 0.822, 0.432)
Na (0.750, 0.250, 0.073)
Tl (0.500, 0.000, 0.274)
Tl (0.000, 0.500, 0.274)
Tl (0.000, 0.500, 0.726)
Tl (0.500, 0.000, 0.726)
Pd (0.500, 0.000, 0.000)
Pd (0.000, 0.500, 0.000)

Results
ΔE_f in kcal/mol of atoms: 1.48
Space group: P4/nbm, No. 125
Spin magnetization in μB per cell: 0.00
VASP energy in Ry per atom: -0.121

---

## Na2TlPd3 (GGA-PBE)

Data for a relaxed structure of Na2TlPd3.

Cell: 2.972 5.554 8.169 Å, 109.87 100.48 90.00°
Sites, in units of the cell vectors:
Na (0.671, 0.171, 0.341)
Na (0.329, 0.829, 0.659)
Tl (0.000, 0.500, 0.000)
Pd (0.345, 0.345, 0.690)
Pd (0.000, 0.000, 0.000)
Pd (0.655, 0.655, 0.310)

Results
Energy relative to the lowest polymorph listed for this composition in meV/atom: 304
ΔE_f in kcal/mol of atoms: 1.25
Space group: Immm, No. 71
Spin magnetization in μB per cell: 0.00
VASP energy in Ry per atom: -0.248

---

## Na6Tl10Pd (GGA-PBE)

Data for a relaxed structure of Na6Tl10Pd.

Cell: 6.405 9.254 9.254 Å, 120.00 90.00 90.00°
Sites, in units of the cell vectors:
Na (0.733, 0.393, 0.393)
Na (0.733, 0.000, 0.607)
Na (0.733, 0.607, 0.000)
Na (0.267, 0.607, 0.607)
Na (0.267, 0.000, 0.393)
Na (0.267, 0.393, 0.000)
Tl (0.777, 0.757, 0.757)
Tl (0.777, 0.000, 0.243)
Tl (0.777, 0.243, 0.000)
Tl (0.223, 0.243, 0.243)
Tl (0.223, 0.000, 0.757)
Tl (0.223, 0.757, 0.000)
Tl (0.500, 0.333, 0.667)
Tl (0.500, 0.667, 0.333)
Tl (0.000, 0.667, 0.333)
Tl (0.000, 0.333, 0.667)
Pd (0.500, 0.000, 0.000)

Results
ΔE_f in kcal/mol of atoms: -2.04
Space group: P-31m, No. 162
Spin magnetization in μB per cell: 0.00
VASP energy in Ry per atom: -0.165

---

## NaTl4Pd4 (GGA-PBE)

Data for a relaxed structure of NaTl4Pd4.

Cell: 5.521 9.080 9.080 Å, 90.00 90.00 90.00°
Sites, in units of the cell vectors:
Na (0.000, 0.000, 0.000)
Na (0.500, 0.500, 0.500)
Tl (0.401, 0.333, 0.879)
Tl (0.901, 0.621, 0.833)
Tl (0.401, 0.667, 0.121)
Tl (0.099, 0.167, 0.621)
Tl (0.599, 0.879, 0.667)
Tl (0.099, 0.833, 0.379)
Tl (0.901, 0.379, 0.167)
Tl (0.599, 0.121, 0.333)
Pd (0.602, 0.819, 0.357)
Pd (0.602, 0.181, 0.643)
Pd (0.102, 0.857, 0.681)
Pd (0.898, 0.319, 0.857)
Pd (0.898, 0.681, 0.143)
Pd (0.398, 0.357, 0.181)
Pd (0.398, 0.643, 0.819)
Pd (0.102, 0.143, 0.319)

Results
Energy relative to the lowest polymorph listed for this composition in meV/atom: 33
ΔE_f in kcal/mol of atoms: -1.54
Space group: P4_2/n, No. 86
Spin magnetization in μB per cell: 0.00
VASP energy in Ry per atom: -0.263